Entry from Alexandria via LeMat-Bulk: an optimized crystal structure of NaPuGaO6 (PBE-GGA).

Geometry as CIF:
```
data_NaPuGaO6
_cell_length_a 5.290
_cell_length_b 5.290
_cell_length_c 5.219
_cell_angle_alpha 90.00
_cell_angle_beta 90.00
_cell_angle_gamma 120.00
_symmetry_space_group_name_H-M 'P 1'
_symmetry_Int_Tables_number 1
_symmetry_space_group_name_Hall 'P 1'
loop_
_atom_site_label
_atom_site_fract_x
_atom_site_fract_y
_atom_site_fract_z
_atom_site_occupancy
Na1 0.000 0.000 0.000 1
Pu1 0.667 0.333 0.500 1
Ga1 0.333 0.667 0.500 1
O1 0.370 0.004 0.292 1
O2 0.370 0.367 0.708 1
O3 0.633 0.004 0.708 1
O4 0.633 0.630 0.292 1
O5 0.996 0.367 0.292 1
O6 0.996 0.630 0.708 1
```

Output
Crystal system: trigonal
Formation energy without anion corrections: -1809 meV/atom
M_tot: 0.000 μB/atom